(1)
This record from the Alexandria database describes UCuBi2 after structural relaxation. The functional is PBE-GGA.

Properties
Its space group is R-3m. As for the density of states at the Fermi level: 1.76 states/eV/atom. Its density is 11.40 g/cm³. As for the total energy: -5.295 eV per atom.

a = 10.916 Å, b = 10.916 Å, c = 10.916 Å
α = 17.69°, β = 17.69°, γ = 17.69°
Fractional positions:
U  0.000  0.000  0.000
Cu  0.500  0.500  0.500
Bi  0.101  0.101  0.101
Bi  0.899  0.899  0.899

(2)
This record from the Alexandria database describes SrSmGaAg after structural relaxation. The functional is PBE-GGA.

Properties
Its space group is F-43m. As for the density of states at the Fermi level: 1.01 states/eV/atom. Its density is 6.38 g/cm³. As for the total energy: -3.397 eV per atom.

a = 5.347 Å, b = 5.347 Å, c = 5.347 Å
α = 60.00°, β = 60.00°, γ = 60.00°
Fractional positions:
Sr  0.000  0.000  0.000
Sm  0.500  0.500  0.500
Ga  0.750  0.750  0.750
Ag  0.250  0.250  0.250

(3)
This record from the Alexandria database describes PrEr2 after structural relaxation. The functional is PBE-GGA.

Properties
Its space group is I4/mmm. As for the density of states at the Fermi level: 1.42 states/eV/atom. Its density is 8.12 g/cm³. As for the total energy: -4.607 eV per atom.

a = 7.994 Å, b = 7.994 Å, c = 7.994 Å
α = 154.11°, β = 154.11°, γ = 36.93°
Fractional positions:
Pr  0.000  0.000  0.000
Er  0.331  0.331  0.000
Er  0.669  0.669  0.000

(4)
This record from the Alexandria database describes Rb4Os after structural relaxation. The functional is PBE-GGA.

Properties
Its space group is Pm-3m. As for the density of states at the Fermi level: 0.35 states/eV/atom. Its density is 2.86 g/cm³. As for the total energy: -1.959 eV per atom.

a = 6.759 Å, b = 6.759 Å, c = 6.759 Å
α = 90.00°, β = 90.00°, γ = 90.00°
Fractional positions:
Rb  0.000  0.000  0.000
Rb  0.000  0.500  0.500
Rb  0.500  0.000  0.500
Rb  0.500  0.500  0.000
Os  0.500  0.500  0.500